Entry 1:
Below is ScWSN2 at its PBEsol-relaxed geometry, with properties calculated at the SCAN level.

Unit cell a=3.883 b=3.883 c=4.757 alpha=90.00 beta=90.00 gamma=90.00
Positions (direct):
Sc (0.000, 0.000, 0.000)
W (0.500, 0.500, 0.500)
S (0.500, 0.500, 0.000)
N (0.000, 0.500, 0.500)
N (0.500, 0.000, 0.500)

Its space group is P4/mmm (123).

Entry 2:
Below is ZrScS2N at its PBEsol-relaxed geometry, with properties calculated at the SCAN level.

Unit cell a=4.531 b=4.531 c=4.023 alpha=90.00 beta=90.00 gamma=90.00
Positions (direct):
Zr (0.000, 0.000, 0.000)
Sc (0.500, 0.500, 0.000)
S (0.000, 0.500, 0.500)
S (0.500, 0.000, 0.500)
N (0.000, 0.000, 0.500)

Its space group is P4/mmm (123).

Entry 3:
Below is ZrScSN2 at its PBEsol-relaxed geometry, with properties calculated at the SCAN level.

Unit cell a=3.962 b=3.962 c=4.784 alpha=90.00 beta=90.00 gamma=90.00
Positions (direct):
Zr (0.000, 0.000, 0.000)
Sc (0.500, 0.500, 0.500)
S (0.500, 0.500, 0.000)
N (0.000, 0.500, 0.500)
N (0.500, 0.000, 0.500)

Its space group is P4/mmm (123).

Number 1: calculated total energy -22.897 eV per atom, formation energy from raw total energies -227 kJ/mol of formula units. Number 2: calculated total energy -14.962 eV per atom, formation energy from raw total energies -128 kJ/mol of formula units. Number 3: calculated total energy -14.878 eV per atom, formation energy from raw total energies -120 kJ/mol of formula units.